{"formula": "Co3Ni3Te8", "functional": "PBE", "state": "relaxed", "lattice": [[3.747, 2.164, 6.178], [-3.747, 2.164, 6.178], [0.000, -4.327, 6.178]], "species": ["Co", "Co", "Co", "Ni", "Ni", "Ni", "Te", "Te", "Te", "Te", "Te", "Te", "Te", "Te"], "frac_coords": [[0.000, 0.500, 0.500], [0.500, 0.000, 0.500], [0.500, 0.500, 0.000], [0.126, 0.126, 0.126], [0.500, 0.500, 0.500], [0.874, 0.874, 0.874], [0.257, 0.257, 0.722], [0.257, 0.722, 0.257], [0.260, 0.260, 0.260], [0.278, 0.743, 0.743], [0.722, 0.257, 0.257], [0.740, 0.740, 0.740], [0.743, 0.278, 0.743], [0.743, 0.743, 0.278]], "e_form_raw_ev_per_atom": -0.21, "energy_ev_per_atom": -4.7693, "dos_ef_per_ev_atom": 0.54}